LiAl2Cr, single point on PBEsol structure, DFT SCAN; VASP energy = -9.09 eV/atom
1.0
-0.882 0.251 -2.452
0.250 -2.605 0.063
-7.881 -0.690 2.763
Al Cr Li
2 1 1
direct
0.000 0.000 0.270
0.000 0.000 0.730
0.500 0.500 0.500
0.500 0.500 0.000